## MnCdOs2 (SCAN)

Data for MnCdOs2 at its PBEsol-relaxed geometry.

For the formation energy, the calculation gives 0.45 eV/atom. The size of the total moment is 0.359 μB/atom.

Lattice parameters (Å, degrees): 4.7695 4.7695 4.7695 132.64 132.64 69.22
Last column: nearest neighbours and their distance in Å.
Positions (direct):
Mn1 0.0000 0.0000 0.0000  4 Cd 2.71, 8 Os 2.74
Cd1 0.5000 0.5000 0.0000  4 Mn 2.71, 8 Os 2.74
Os1 0.2500 0.7500 0.5000  4 Os 2.71, 4 Cd 2.74, 4 Mn 2.74
Os2 0.7500 0.2500 0.5000  4 Os 2.71, 4 Cd 2.74, 4 Mn 2.74

## CaSn2Bi2 (SCAN)

Data for CaSn2Bi2 at its PBEsol-relaxed geometry.

For the formation energy, the calculation gives -0.19 eV/atom. The size of the total moment is 0.000 μB/atom.

Lattice parameters (Å, degrees): 8.8155 8.8155 8.8155 151.56 151.56 40.66
Last column: nearest neighbours and their distance in Å.
Positions (direct):
Ca1 0.0000 0.0000 0.0000  8 Bi 3.43
Sn1 0.2500 0.7500 0.5000  4 Sn 3.06, 4 Bi 3.38
Sn2 0.7500 0.2500 0.5000  4 Sn 3.06, 4 Bi 3.38
Bi1 0.4067 0.4067 0.0000  1 Bi 3.09, 4 Sn 3.38, 4 Ca 3.43
Bi2 0.5933 0.5933 0.0000  1 Bi 3.09, 4 Sn 3.38, 4 Ca 3.43

## Li2MnCr3O8 (SCAN)

Data for Li2MnCr3O8 at its PBEsol-relaxed geometry.

The size of the total moment is 0.786 μB/atom. For the excess energy over the best structure of this formula in the dataset, the calculation gives 0.0 meV/atom.

Lattice parameters (Å, degrees): 8.1605 8.1605 8.1605 90.00 90.00 90.00
Last column: nearest neighbours and their distance in Å.
Positions (direct):
Li1 0.0000 0.0000 0.0000  4 O 1.95
Li2 0.0000 0.5000 0.5000  4 O 1.95
Li3 0.2500 0.2500 0.2500  4 O 1.95
Li4 0.2500 0.7500 0.7500  4 O 1.95
Li5 0.5000 0.0000 0.5000  4 O 1.95
Li6 0.5000 0.5000 0.0000  4 O 1.95
Li7 0.7500 0.2500 0.7500  4 O 1.95
Li8 0.7500 0.7500 0.2500  4 O 1.95
Mn1 0.1250 0.8750 0.3750  6 O 1.91
Mn2 0.3750 0.1250 0.8750  6 O 1.91
Mn3 0.6250 0.6250 0.6250  6 O 1.91
Mn4 0.8750 0.3750 0.1250  6 O 1.91
Cr1 0.1252 0.1248 0.6250  6 O 1.94-1.96
Cr2 0.1250 0.3748 0.8752  6 O 1.94-1.96
Cr3 0.1248 0.6250 0.1252  6 O 1.94-1.96
Cr4 0.3752 0.3750 0.6252  6 O 1.94-1.96
Cr5 0.3750 0.6252 0.3752  6 O 1.94-1.96
Cr6 0.3748 0.8752 0.1250  6 O 1.94-1.96
Cr7 0.6250 0.1252 0.1248  6 O 1.94-1.96
Cr8 0.6252 0.3752 0.3750  6 O 1.94-1.96
Cr9 0.6248 0.8750 0.8748  6 O 1.94-1.96
Cr10 0.8752 0.1250 0.3748  6 O 1.94-1.96
Cr11 0.8748 0.6248 0.8750  6 O 1.94-1.96
Cr12 0.8750 0.8748 0.6248  6 O 1.94-1.96
O1 0.1086 0.3867 0.1143  1 Mn 1.91, 1 Li 1.95, 2 Cr 1.95-1.96
O2 0.1124 0.6124 0.8876  3 Cr 1.94, 1 Li 1.95
O3 0.1133 0.8857 0.6086  1 Mn 1.91, 1 Li 1.95, 2 Cr 1.95-1.96
O4 0.1143 0.1086 0.3867  1 Mn 1.91, 1 Li 1.95, 2 Cr 1.95-1.96
O5 0.1357 0.8633 0.1414  1 Mn 1.91, 1 Li 1.95, 2 Cr 1.95-1.96
O6 0.1367 0.6414 0.3643  1 Mn 1.91, 1 Li 1.95, 2 Cr 1.95-1.96
O7 0.1376 0.3624 0.6376  3 Cr 1.94, 1 Li 1.95
O8 0.1414 0.1357 0.8633  1 Mn 1.91, 1 Li 1.95, 2 Cr 1.95-1.96
O9 0.3586 0.8643 0.3633  1 Mn 1.91, 1 Li 1.95, 2 Cr 1.95-1.96
O10 0.3624 0.6376 0.1376  3 Cr 1.94, 1 Li 1.95
O11 0.3633 0.3586 0.8643  1 Mn 1.91, 1 Li 1.95, 2 Cr 1.95-1.96
O12 0.3643 0.1367 0.6414  1 Mn 1.91, 1 Li 1.95, 2 Cr 1.95-1.96
O13 0.3857 0.8914 0.8867  1 Mn 1.91, 1 Li 1.95, 2 Cr 1.95-1.96
O14 0.3867 0.1143 0.1086  1 Mn 1.91, 1 Li 1.95, 2 Cr 1.95-1.96
O15 0.3876 0.3876 0.3876  3 Cr 1.94, 1 Li 1.95
O16 0.3914 0.6133 0.6143  1 Mn 1.91, 1 Li 1.95, 2 Cr 1.95-1.96
O17 0.6086 0.1133 0.8857  1 Mn 1.91, 1 Li 1.95, 2 Cr 1.95-1.96
O18 0.6124 0.8876 0.1124  3 Cr 1.94, 1 Li 1.95
O19 0.6133 0.6143 0.3914  1 Mn 1.91, 1 Li 1.95, 2 Cr 1.95-1.96
O20 0.6143 0.3914 0.6133  1 Mn 1.91, 1 Li 1.95, 2 Cr 1.95-1.96
O21 0.6357 0.6367 0.8586  1 Mn 1.91, 1 Li 1.95, 2 Cr 1.95-1.96
O22 0.6367 0.8586 0.6357  1 Mn 1.91, 1 Li 1.95, 2 Cr 1.95-1.96
O23 0.6376 0.1376 0.3624  3 Cr 1.94, 1 Li 1.95
O24 0.6414 0.3643 0.1367  1 Mn 1.91, 1 Li 1.95, 2 Cr 1.95-1.96
O25 0.8586 0.6357 0.6367  1 Mn 1.91, 1 Li 1.95, 2 Cr 1.95-1.96
O26 0.8624 0.8624 0.8624  3 Cr 1.94, 1 Li 1.95
O27 0.8633 0.1414 0.1357  1 Mn 1.91, 1 Li 1.95, 2 Cr 1.95-1.96
O28 0.8643 0.3633 0.3586  1 Mn 1.91, 1 Li 1.95, 2 Cr 1.95-1.96
O29 0.8857 0.6086 0.1133  1 Mn 1.91, 1 Li 1.95, 2 Cr 1.95-1.96
O30 0.8867 0.3857 0.8914  1 Mn 1.91, 1 Li 1.95, 2 Cr 1.95-1.96
O31 0.8876 0.1124 0.6124  3 Cr 1.94, 1 Li 1.95
O32 0.8914 0.8867 0.3857  1 Mn 1.91, 1 Li 1.95, 2 Cr 1.95-1.96

## ZrBeAl2 (SCAN)

Data for ZrBeAl2 at its PBEsol-relaxed geometry.

For the formation energy, the calculation gives 0.09 eV/atom. The size of the total moment is 0.000 μB/atom.

Lattice parameters (Å, degrees): 9.0436 9.0436 9.0436 18.50 18.50 18.50
Last column: nearest neighbours and their distance in Å.
Positions (direct):
Zr1 0.0000 0.0000 0.0000  6 Zr 2.91, 6 Al 3.02
Be1 0.5000 0.5000 0.5000  6 Al 2.56
Al1 0.2390 0.2390 0.2390  3 Be 2.56
Al2 0.7610 0.7610 0.7610  3 Be 2.56

> Number 3 is which compound?

Li2MnCr3O8

> Which value of size of the total moment does entry 1 give?

0.359 μB/atom